{
  "formula": "Co2HgAu",
  "functional": "GGA-PBE",
  "state": "relaxed",
  "lattice": [[2.855, 0.000, 0.000], [0.000, 4.126, 0.000], [-1.404, 0.000, 5.268]],
  "species": ["Co", "Co", "Hg", "Au"],
  "frac_coords": [[0.000, 0.000, 0.000], [0.112, 0.500, 0.217], [0.730, 0.000, 0.457], [0.390, 0.500, 0.777]],
  "total_energy_ev_per_atom": -4.093,
  "delta_e_f_ev_per_atom": 0.355,
  "n_ef_per_ev_atom": 1.0279
}